Record 1
The following is a DFT calculation (PBE) of crystalline PrTm2Ga6 at its relaxed geometry.

Summary:
- DFT total energy (eV per formula unit) = -37.4
- space-group type = P6/mmm (191)
- energy above the most stable polymorph in this dataset (eV/f.u.) = 0.000

Geometry as extended XYZ:
```
9
Lattice="7.313 0.000 0.000 -3.656 6.333 0.000 0.000 0.000 4.157" Properties=species:S:1:pos:R:3 pbc="T T T"
Pr 0.000 0.000 0.000
Tm 0.000 4.222 0.000
Tm 3.656 2.111 0.000
Ga -1.226 2.124 2.078
Ga -2.430 4.209 2.078
Ga 2.453 0.000 2.078
Ga 1.226 2.124 2.078
Ga 4.860 0.000 2.078
Ga 2.430 4.209 2.078
```

Record 2
The following is a DFT calculation (PBE) of crystalline TbPaP2Rh5 at its relaxed geometry.

Summary:
- DFT total energy (eV per formula unit) = -67.6
- space-group type = P4/mmm (123)

Geometry as extended XYZ:
```
9
Lattice="4.017 0.000 0.000 0.000 4.017 0.000 0.000 0.000 10.758" Properties=species:S:1:pos:R:3 pbc="T T T"
Tb 0.000 0.000 0.000
Pa 2.009 2.009 5.379
P 2.009 2.009 2.245
P 2.009 2.009 8.513
Rh 0.000 2.009 3.392
Rh 0.000 2.009 7.366
Rh 2.009 0.000 3.392
Rh 2.009 0.000 7.366
Rh 2.009 2.009 0.000
```

Record 3
The following is a DFT calculation (PBE) of crystalline Dy2Zn5In at its relaxed geometry.

Summary:
- DFT total energy (eV per formula unit) = -21.0
- space-group type = Cmcm (63)

Geometry as extended XYZ:
```
16
Lattice="2.170 -8.108 0.000 2.170 8.108 0.000 0.000 0.000 9.067" Properties=species:S:1:pos:R:3 pbc="T T T"
Dy 0.000 0.000 0.000
Dy 0.000 0.000 4.533
Dy 2.170 4.829 6.800
Dy 2.170 -4.829 2.267
Zn 2.170 5.057 0.986
Zn 2.170 5.057 3.547
Zn 2.170 2.489 0.168
Zn 2.170 2.489 4.366
Zn 2.170 1.770 6.800
Zn 2.170 -1.770 2.267
Zn 2.170 -2.489 4.701
Zn 2.170 -2.489 8.899
Zn 2.170 -5.057 5.519
Zn 2.170 -5.057 8.081
In 2.170 0.849 2.267
In 2.170 -0.849 6.800
```

Record 4
The following is a DFT calculation (PBE) of crystalline Mn4CoOs at its relaxed geometry.

Summary:
- DFT total energy (eV per formula unit) = -54.7
- space-group type = P2/m (10)
- energy above the most stable polymorph in this dataset (eV/f.u.) = 0.000

Geometry as extended XYZ:
```
6
Lattice="4.384 0.000 0.000 0.000 2.552 0.000 -1.440 0.000 6.088" Properties=species:S:1:pos:R:3 pbc="T T T"
Mn 0.726 0.000 0.944
Mn 0.003 1.276 5.129
Mn 2.941 1.276 0.959
Mn 2.218 0.000 5.145
Co -0.720 0.000 3.044
Os 1.472 1.276 3.044
```

Record 5
The following is a DFT calculation (PBE) of crystalline BeReTc2 at its relaxed geometry.

Summary:
- DFT total energy (eV per formula unit) = -36.7
- space-group type = Pm (6)

Geometry as extended XYZ:
```
4
Lattice="2.738 0.000 0.000 0.000 3.853 0.000 -0.017 0.000 5.145" Properties=species:S:1:pos:R:3 pbc="T T T"
Be 0.000 0.000 0.000
Re 1.351 1.926 1.227
Tc 2.729 0.000 2.566
Tc 1.370 1.926 3.967
```

Record 6
The following is a DFT calculation (PBE) of crystalline NaAgIr2Ru at its relaxed geometry.

Summary:
- DFT total energy (eV per formula unit) = -20.7
- space-group type = P4/mmm (123)

Geometry as extended XYZ:
```
5
Lattice="4.882 0.000 0.000 0.000 4.882 0.000 0.000 0.000 4.541" Properties=species:S:1:pos:R:3 pbc="T T T"
Na 0.000 0.000 0.000
Ag 0.000 0.000 2.271
Ir 0.000 2.441 2.271
Ir 2.441 0.000 2.271
Ru 2.441 2.441 0.000
```

no.,total moment (Bohr magnetons per cell),ΔH_f (0 K) (kcal/mol of atoms)
1,0.00,-14.02
2,0.00,-15.00
3,0.00,-7.79
4,0.01,1.10
5,0.00,1.24
6,4.31,48.07